First-principles (PBE with a Hubbard U) data for a geometry-optimized K2NiF structure, as listed in the Alexandria database.

## Properties
E_tot   -2.031 eV/atom
Energy above the most stable polymorph in this dataset   96 meV per atom
SG   No. 225

Cell and atoms, written as POSCAR:
```
K2NiF
1.0
0.000 3.763 3.763
3.763 0.000 3.763
3.763 3.763 0.000
K Ni F
2 1 1
Direct
0.250 0.250 0.250
0.750 0.750 0.750
0.000 0.000 0.000
0.500 0.500 0.500
```